Record 1
This record from Alexandria via LeMat-Bulk describes a relaxed Tb5Pm2Pr2 crystal. The functional is PBE.

Calculated values
Energy above the lowest structure with this stoichiometry (meV per atom): 0.0
Energy relative to the elements (meV per atom): 197

Unit cell a=15.0579 b=11.9918 c=6.7903 alpha=90.00 beta=90.00 gamma=90.00
Space group Ima2 (No. 46)
One atom of each set of equivalent atoms:
Tb: 0.0530 0.2440 0.0000 (multiplicity 8)
Tb: 0.1424 0.7338 0.1880 (multiplicity 8)
Tb: 0.2500 0.2417 0.2017 (multiplicity 4)
Pm: 0.1262 0.0016 0.3519 (multiplicity 8)
Pr: 0.0000 0.0000 0.8083 (multiplicity 4)
Pr: 0.2500 0.5076 0.3958 (multiplicity 4)

---

Record 2
This record from Alexandria via LeMat-Bulk describes a relaxed PaAlZnPd crystal. The functional is PBE.

Calculated values
Energy relative to the elements (meV per atom): -379

Unit cell a=6.7047 b=6.7047 c=6.7047 alpha=90.00 beta=90.00 gamma=90.00
Space group F-43m (No. 216)
One atom of each set of equivalent atoms:
Pa: 0.0000 0.0000 0.0000 (multiplicity 4)
Al: 0.0000 0.0000 0.5000 (multiplicity 4)
Zn: 0.2500 0.2500 0.2500 (multiplicity 4)
Pd: 0.2500 0.2500 0.7500 (multiplicity 4)

---

Record 3
This record from Alexandria via LeMat-Bulk describes a relaxed Ba2Zn5Au crystal. The functional is PBE.

Calculated values
Energy relative to the elements (meV per atom): -289

Unit cell a=4.7219 b=17.3788 c=9.5597 alpha=90.00 beta=90.00 gamma=90.00
Space group Cmcm (No. 63)
One atom of each set of equivalent atoms:
Ba: 0.0000 0.0000 0.0000 (multiplicity 4)
Ba: 0.0000 0.1971 0.2500 (multiplicity 4)
Zn: 0.0000 0.1861 0.6138 (multiplicity 8)
Zn: 0.0000 0.3423 0.5078 (multiplicity 8)
Zn: 0.0000 0.4002 0.2500 (multiplicity 4)
Au: 0.0000 0.4432 0.7500 (multiplicity 4)

---

Record 4
This record from Alexandria via LeMat-Bulk describes a relaxed Zn3FeRh4 crystal. The functional is PBE.

Calculated values
Energy relative to the elements (meV per atom): -315

Unit cell a=3.0355 b=4.2615 c=8.5025 alpha=90.00 beta=90.00 gamma=90.00
Space group Pmmm (No. 47)
One atom of each set of equivalent atoms:
Zn: 0.0000 0.0000 0.0000 (multiplicity 1)
Zn: 0.0000 0.5000 0.2494 (multiplicity 2)
Fe: 0.0000 0.0000 0.5000 (multiplicity 1)
Rh: 0.5000 0.0000 0.2562 (multiplicity 2)
Rh: 0.5000 0.5000 0.0000 (multiplicity 1)
Rh: 0.5000 0.5000 0.5000 (multiplicity 1)

---

Record 5
This record from Alexandria via LeMat-Bulk describes a relaxed NiAs2Se crystal. The functional is PBE.

Calculated values
ΔE_f (raw) (eV/f.u.): 0.07

Unit cell a=3.6738 b=3.6738 c=18.3853 alpha=90.00 beta=90.00 gamma=120.00
Space group R-3m (No. 166, hexagonal axes)
One atom of each set of equivalent atoms:
Ni: 0.0000 0.0000 0.0000 (multiplicity 3)
As: 0.0000 0.0000 0.2683 (multiplicity 6)
Se: 0.0000 0.0000 0.5000 (multiplicity 3)

---

Record 6
This record from Alexandria via LeMat-Bulk describes a relaxed CePaRuN4 crystal. The functional is PBE.

Calculated values
ΔE_f (raw) (eV/f.u.): -6.38

Unit cell a=3.8994 b=3.8994 c=11.9759 alpha=90.00 beta=90.00 gamma=90.00
Space group I4mm (No. 107)
One atom of each set of equivalent atoms:
Ce: 0.0000 0.0000 0.0000 (multiplicity 2)
Pa: 0.0000 0.0000 0.7188 (multiplicity 2)
Ru: 0.0000 0.0000 0.3583 (multiplicity 2)
N: 0.0000 0.0000 0.1793 (multiplicity 2)
N: 0.0000 0.0000 0.5401 (multiplicity 2)
N: 0.0000 0.5000 0.3448 (multiplicity 4)

---

Record 7
This record from Alexandria via LeMat-Bulk describes a relaxed KNaCa crystal. The functional is PBE.

Calculated values
Energy above the lowest structure with this stoichiometry (meV per atom): 3.1
Energy relative to the elements (meV per atom): 111

Unit cell a=20.0894 b=4.2513 c=6.7445 alpha=90.00 beta=90.00 gamma=90.00
Space group Amm2 (No. 38)
One atom of each set of equivalent atoms:
K: 0.1709 0.0000 0.0000 (multiplicity 4)
Na: 0.0000 0.0000 0.6091 (multiplicity 2)
Na: 0.5000 0.0000 0.9434 (multiplicity 2)
Ca: 0.3505 0.0000 0.5682 (multiplicity 4)

---

Record 8
This record from Alexandria via LeMat-Bulk describes a relaxed MnBeIrW crystal. The functional is PBE.

Calculated values
Energy relative to the elements (meV per atom): -161

Unit cell a=5.9003 b=5.9003 c=5.9003 alpha=90.00 beta=90.00 gamma=90.00
Space group F-43m (No. 216)
One atom of each set of equivalent atoms:
Mn: 0.0000 0.0000 0.0000 (multiplicity 4)
Be: 0.2500 0.2500 0.2500 (multiplicity 4)
Ir: 0.0000 0.0000 0.5000 (multiplicity 4)
W: 0.2500 0.2500 0.7500 (multiplicity 4)

---

Theoretical density per entry: 7.4; 9.5; 6.8; 10.0; 6.7; 9.6; 1.2; 14.2 g cm⁻³
Fermi-level density of states per entry: 56.6; 11.2; 19.6; 5.3; 7.4; 9.5; 10.8; 2.8 states/eV per cell